Material: RbRhSe4
Method: DFT, GGA-PBE
State: relaxed

Properties
E_form (uncorrected) = -2.8 eV per formula unit

a = 7.5398 Å, b = 7.5398 Å, c = 7.5585 Å
α = 86.65°, β = 86.65°, γ = 120.51°
Atoms (fractional coordinates):
Rb: 0.6569 0.3431 0.7500
Rb: 0.3431 0.6569 0.2500
Se: 0.8440 0.0888 0.4826
Se: 0.7917 0.6157 0.1870
Se: 0.3843 0.2083 0.3130
Se: 0.9112 0.1560 0.0174
Se: 0.0888 0.8440 0.9826
Se: 0.1560 0.9112 0.5174
Se: 0.2083 0.3843 0.8130
Se: 0.6157 0.7917 0.6870
Rh: 0.0089 0.9911 0.2500
Rh: 0.9911 0.0089 0.7500


Material: HfTiRe2Au
Method: DFT, GGA-PBE
State: relaxed

Properties
E = -7.797 eV per atom

a = 4.5247 Å, b = 4.8044 Å, c = 4.5247 Å
α = 90.00°, β = 90.00°, γ = 90.00°
Atoms (fractional coordinates):
Re: 0.5000 0.0000 0.0000
Re: 0.0000 0.0000 0.5000
Hf: 0.0000 0.5000 0.0000
Ti: 0.0000 0.0000 0.0000
Au: 0.5000 0.5000 0.5000


Material: Nd8P3Se4S
Method: DFT, GGA-PBE
State: relaxed

Properties
E_form (uncorrected) = -29.2 eV per formula unit

a = 8.3243 Å, b = 8.4452 Å, c = 8.3244 Å
α = 119.53°, β = 120.00°, γ = 90.00°
Atoms (fractional coordinates):
Se: 0.0000 0.0000 0.0000
Se: 0.5000 0.0000 0.0000
Se: 0.0000 0.0000 0.5000
Se: 0.5000 0.0000 0.5000
P: 0.5000 0.5000 0.5000
P: 0.5000 0.5000 0.0000
P: 0.0000 0.5000 0.5000
S: 0.0000 0.5000 0.0000
Nd: 0.2452 0.7302 0.9850
Nd: 0.7435 0.7304 0.4870
Nd: 0.7547 0.2697 0.5095
Nd: 0.2601 0.2698 0.0150
Nd: 0.7399 0.7302 0.9850
Nd: 0.2565 0.2696 0.5130
Nd: 0.7548 0.2698 0.0150
Nd: 0.2453 0.7303 0.4905


Number 1: size of the total moment 0.0 Bohr magnetons per cell. Number 2: size of the total moment 0.0 Bohr magnetons per cell. Number 3: size of the total moment 0.0 Bohr magnetons per cell.